(1)
A plane-wave DFT calculation with SCAN was carried out for BaLa8CoSi6O26 at its PBEsol-relaxed geometry.

Computed properties:
E_form (uncorrected): -3.439 eV per atom
SG: P3 (143)

Cell lengths 7.1163, 9.6103, 9.6103 Å; angles 120.00, 90.00, 90.00 degrees
Each line ends with the local moment (μB).
Positions (direct):
1 La 0.1848 0.0133 0.7706  0.00
2 La 0.1848 0.7572 0.9867  0.00
3 La 0.6861 0.2442 0.0191  0.00
4 La 0.4497 0.3333 0.6667  0.00
5 La 0.1848 0.2294 0.2428  0.00
6 La 0.6861 0.7749 0.7558  0.00
7 La 0.6861 0.9809 0.2251  0.00
8 La 0.9317 0.6667 0.3333  0.00
9 O 0.3593 0.7353 0.6649  0.00
10 O 0.8492 0.2232 0.2862  0.00
11 O 0.5000 0.6186 0.8908  0.00
12 O 0.7491 0.4572 0.5988  -0.03
13 O 0.1631 0.3063 0.8181  -0.03
14 O 0.3593 0.3351 0.0704  0.00
15 O 0.6957 0.8471 0.5101  0.00
16 O 0.6187 0.0000 0.0000  0.00
17 O 0.8492 0.0630 0.7768  0.00
18 O 0.1631 0.5118 0.6937  -0.03
19 O 0.1600 0.8931 0.4838  0.00
20 O 0.1600 0.5162 0.4092  0.00
21 O 0.1600 0.5908 0.1069  0.00
22 O 0.9974 0.3423 0.0924  0.00
23 O 0.5000 0.2722 0.3814  0.00
24 O 0.6957 0.4899 0.3370  0.00
25 O 0.9974 0.9076 0.2499  0.00
26 O 0.6957 0.6630 0.1529  0.00
27 O 0.3593 0.9296 0.2647  0.00
28 O 0.7491 0.4012 0.8584  -0.03
29 O 0.5000 0.1092 0.7278  0.00
30 O 0.7491 0.1416 0.5428  -0.03
31 O 0.1620 0.0000 0.0000  0.00
32 O 0.9974 0.7501 0.6577  0.00
33 O 0.1631 0.1819 0.4882  -0.03
34 O 0.8492 0.7138 0.9370  0.00
35 Si 0.1692 0.6202 0.6056  0.00
36 Si 0.7037 0.5938 0.9597  0.00
37 Si 0.1692 0.9855 0.3798  0.00
38 Si 0.7037 0.0403 0.6341  0.00
39 Si 0.7037 0.3659 0.4062  0.00
40 Si 0.1692 0.3944 0.0145  0.00
41 Ba 0.4247 0.6667 0.3333  0.00
42 Co 0.9538 0.3333 0.6667  -2.70

(2)
A plane-wave DFT calculation with SCAN was carried out for Ba2LaZnCo at its PBEsol-relaxed geometry.

Computed properties:
Formation energy from the elements: 0.654 eV per atom
SG: P4/mmm (123)

Cell lengths 4.4178, 6.3117, 6.3117 Å; angles 90.00, 90.00, 90.00 degrees
Each line ends with the local moment (μB).
Positions (direct):
1 La 0.0000 0.0000 0.0000  -0.04
2 Ba 0.0000 0.0000 0.5000  0.03
3 Ba 0.0000 0.5000 0.0000  0.03
4 Co 0.5000 0.0000 0.0000  0.69
5 Zn 0.5000 0.5000 0.5000  0.00

(3)
A plane-wave DFT calculation with SCAN was carried out for BaLiCo4 at its PBEsol-relaxed geometry.

Computed properties:
Formation energy from the elements: 0.588 eV per atom
SG: F-43m (216)

Cell lengths 5.0257, 5.0257, 5.0257 Å; angles 60.00, 60.00, 60.00 degrees
Each line ends with the local moment (μB).
Positions (direct):
1 Li 0.7500 0.7500 0.7500  -0.04
2 Co 0.3765 0.3765 0.8706  1.74
3 Co 0.3765 0.8706 0.3765  1.74
4 Co 0.3765 0.3765 0.3765  1.74
5 Co 0.8706 0.3765 0.3765  1.74
6 Ba 0.0000 0.0000 0.0000  -0.21

(4)
A plane-wave DFT calculation with SCAN was carried out for Ba2LiCo at its PBEsol-relaxed geometry.

Computed properties:
Formation energy from the elements: 0.404 eV per atom
SG: Imm2 (44)

Cell lengths 3.6533, 5.3622, 6.9631 Å; angles 112.62, 105.21, 90.00 degrees
Each line ends with the local moment (μB).
Positions (direct):
1 Co 0.4896 0.4896 0.9792  1.63
2 Ba 0.1855 0.6853 0.3709  -0.19
3 Ba 0.9916 0.9916 0.9831  -0.17
4 Li 0.8333 0.3334 0.6667  -0.02

(5)
A plane-wave DFT calculation with SCAN was carried out for Ba2LiCo at its PBEsol-relaxed geometry.

Computed properties:
Formation energy from the elements: 0.373 eV per atom
SG: C2/m (12)

Cell lengths 3.9752, 5.4963, 5.4963 Å; angles 89.97, 89.88, 89.88 degrees
Each line ends with the local moment (μB).
Positions (direct):
1 Co 0.5000 0.0000 0.0000  1.78
2 Li 0.5000 0.5000 0.5000  -0.02
3 Ba 0.0000 0.0000 0.5000  -0.11
4 Ba 0.0000 0.5000 0.0000  -0.11

(6)
A plane-wave DFT calculation with SCAN was carried out for Ba2LiCo at its PBEsol-relaxed geometry.

Computed properties:
Formation energy from the elements: 0.389 eV per atom
SG: P4mm (99)

Cell lengths 3.6934, 3.6934, 8.5439 Å; angles 90.00, 90.00, 90.00 degrees
Each line ends with the local moment (μB).
Positions (direct):
1 Ba 0.5000 0.5000 0.3418  -0.12
2 Ba 0.0000 0.0000 0.9077  -0.07
3 Co 0.0000 0.0000 0.5831  1.73
4 Li 0.5000 0.5000 0.6674  -0.03

(7)
A plane-wave DFT calculation with SCAN was carried out for Ba2LiCo at its PBEsol-relaxed geometry.

Computed properties:
Formation energy from the elements: 0.375 eV per atom
SG: Amm2 (38)

Cell lengths 4.4944, 4.5727, 6.4078 Å; angles 90.00, 110.53, 90.00 degrees
Each line ends with the local moment (μB).
Positions (direct):
1 Co 0.7920 0.0000 0.5840  1.74
2 Ba 0.1096 0.0000 0.2191  -0.12
3 Ba 0.3856 0.5000 0.7711  -0.09
4 Li 0.6969 0.5000 0.3938  -0.01

(8)
A plane-wave DFT calculation with SCAN was carried out for Ba2MgCo at its PBEsol-relaxed geometry.

Computed properties:
Formation energy from the elements: 0.301 eV per atom
SG: Amm2 (38)

Cell lengths 4.7420, 4.6836, 6.5972 Å; angles 90.00, 111.06, 90.00 degrees
Each line ends with the local moment (μB).
Positions (direct):
1 Ba 0.7305 0.5000 0.3363  -0.06
2 Ba 0.0117 0.0000 0.8983  -0.08
3 Co 0.3334 0.0000 0.5417  1.78
4 Mg 0.4244 0.5000 0.7237  -0.01

(9)
A plane-wave DFT calculation with SCAN was carried out for Ba2MgCo at its PBEsol-relaxed geometry.

Computed properties:
Formation energy from the elements: 0.313 eV per atom
SG: Imm2 (44)

Cell lengths 3.6532, 5.6347, 6.8144 Å; angles 114.41, 105.55, 90.00 degrees
Each line ends with the local moment (μB).
Positions (direct):
1 Co 0.5180 0.5179 0.0360  1.66
2 Ba 0.8102 0.3102 0.6204  -0.12
3 Ba 0.9959 0.9959 0.9918  -0.12
4 Mg 0.1759 0.6759 0.3519  -0.02

(10)
A plane-wave DFT calculation with SCAN was carried out for BaMg6Co at its PBEsol-relaxed geometry.

Computed properties:
Formation energy from the elements: 0.188 eV per atom
SG: Amm2 (38)

Cell lengths 4.4968, 6.1327, 7.9104 Å; angles 112.81, 90.00, 90.00 degrees
Each line ends with the local moment (μB).
Positions (direct):
1 Co 0.0000 0.8948 0.7896  1.74
2 Mg 0.5000 0.1649 0.8474  -0.01
3 Mg 0.0000 0.3159 0.6317  -0.01
4 Mg 0.0000 0.7913 0.0893  0.00
5 Mg 0.0000 0.2980 0.0893  0.00
6 Mg 0.5000 0.1294 0.2588  0.00
7 Mg 0.5000 0.6825 0.8474  -0.01
8 Ba 0.5000 0.7231 0.4463  -0.02

(11)
A plane-wave DFT calculation with SCAN was carried out for BaMgCo at its PBEsol-relaxed geometry.

Computed properties:
Formation energy from the elements: 0.907 eV per atom
SG: F-43m (216)

Cell lengths 4.9941, 4.9941, 4.9941 Å; angles 60.00, 60.00, 60.00 degrees
Each line ends with the local moment (μB).
Positions (direct):
1 Co 0.5000 0.5000 0.5000  2.03
2 Mg 0.7500 0.7500 0.7500  -0.05
3 Ba 0.0000 0.0000 0.0000  -0.20

(12)
A plane-wave DFT calculation with SCAN was carried out for BaMg2Co at its PBEsol-relaxed geometry.

Computed properties:
Formation energy from the elements: 0.659 eV per atom
SG: I4/mmm (139)

Cell lengths 4.4826, 4.4826, 5.5878 Å; angles 113.65, 113.65, 90.00 degrees
Positions (direct):
1 Ba 0.5000 0.5000 0.0000
2 Mg 0.7500 0.2500 0.5000
3 Mg 0.2500 0.7500 0.5000
4 Co 0.0000 0.0000 0.0000

(13)
A plane-wave DFT calculation with SCAN was carried out for Ba2MgCoW at its PBEsol-relaxed geometry.

Computed properties:
Formation energy from the elements: 1.684 eV per atom
SG: P4/mmm (123)

Cell lengths 4.9973, 6.1997, 6.1997 Å; angles 90.00, 90.00, 90.00 degrees
Each line ends with the local moment (μB).
Positions (direct):
1 W 0.5000 0.0000 0.0000  2.20
2 Mg 0.0000 0.0000 0.0000  0.00
3 Co 0.5000 0.5000 0.5000  2.00
4 Ba 0.0000 0.0000 0.5000  -0.02
5 Ba 0.0000 0.5000 0.0000  -0.02

(14)
A plane-wave DFT calculation with SCAN was carried out for BaMn2Co at its PBEsol-relaxed geometry.

Computed properties:
Formation energy from the elements: 0.879 eV per atom
SG: Fm-3m (225)

Cell lengths 4.6730, 4.6730, 4.6730 Å; angles 60.00, 60.00, 60.00 degrees
Each line ends with the local moment (μB).
Positions (direct):
1 Mn 0.2500 0.2500 0.2500  3.95
2 Mn 0.7500 0.7500 0.7500  3.95
3 Ba 0.5000 0.5000 0.5000  0.00
4 Co 0.0000 0.0000 0.0000  1.94

(15)
A plane-wave DFT calculation with SCAN was carried out for BaMn2Co at its PBEsol-relaxed geometry.

Computed properties:
Formation energy from the elements: 0.704 eV per atom
SG: P4/mmm (123)

Cell lengths 3.1257, 3.1257, 7.2109 Å; angles 90.00, 90.00, 90.00 degrees
Each line ends with the local moment (μB).
Positions (direct):
1 Mn 0.0000 0.0000 0.6381  3.11
2 Mn 0.0000 0.0000 0.3619  3.11
3 Co 0.5000 0.5000 0.5000  1.59
4 Ba 0.5000 0.5000 0.0000  -0.04

(16)
A plane-wave DFT calculation with SCAN was carried out for BaMn4Co at its PBEsol-relaxed geometry.

Computed properties:
Formation energy from the elements: 0.746 eV per atom
SG: F-43m (216)

Cell lengths 5.0700, 5.0700, 5.0700 Å; angles 60.00, 60.00, 60.00 degrees
Each line ends with the local moment (μB).
Positions (direct):
1 Mn 0.3724 0.3724 0.3724  3.62
2 Mn 0.3724 0.8829 0.3724  3.62
3 Mn 0.3724 0.3724 0.8829  3.62
4 Mn 0.8829 0.3724 0.3724  3.62
5 Co 0.0000 0.0000 0.0000  1.99
6 Ba 0.7500 0.7500 0.7500  -0.05

(17)
A plane-wave DFT calculation with SCAN was carried out for BaMn2Co at its PBEsol-relaxed geometry.

Computed properties:
Formation energy from the elements: 0.850 eV per atom
SG: F-43m (216)

Cell lengths 4.6509, 4.6509, 4.6509 Å; angles 60.00, 60.00, 60.00 degrees
Each line ends with the local moment (μB).
Positions (direct):
1 Mn 0.2500 0.2500 0.2500  3.69
2 Mn 0.0000 0.0000 0.0000  3.82
3 Co 0.7500 0.7500 0.7500  1.40
4 Ba 0.5000 0.5000 0.5000  -0.24

(18)
A plane-wave DFT calculation with SCAN was carried out for Ba3MnCo at its PBEsol-relaxed geometry.

Computed properties:
Formation energy from the elements: 0.548 eV per atom
SG: Pm-3m (221)

Cell lengths 5.6966, 5.6966, 5.6966 Å; angles 90.00, 90.00, 90.00 degrees
Each line ends with the local moment (μB).
Positions (direct):
1 Mn 0.5000 0.5000 0.5000  4.61
2 Co 0.0000 0.0000 0.0000  0.88
3 Ba 0.0000 0.0000 0.5000  -0.07
4 Ba 0.0000 0.5000 0.0000  -0.07
5 Ba 0.5000 0.0000 0.0000  -0.07

(19)
A plane-wave DFT calculation with SCAN was carried out for Ba4MnCo at its PBEsol-relaxed geometry.

Computed properties:
Formation energy from the elements: 1.031 eV per atom
SG: F-43m (216)

Cell lengths 6.8587, 6.8587, 6.8587 Å; angles 60.00, 60.00, 60.00 degrees
Each line ends with the local moment (μB).
Positions (direct):
1 Ba 0.8739 0.3754 0.3754  -0.23
2 Ba 0.3754 0.3754 0.8739  -0.23
3 Ba 0.3754 0.3754 0.3754  -0.23
4 Ba 0.3754 0.8739 0.3754  -0.23
5 Mn 0.0000 0.0000 0.0000  4.61
6 Co 0.7500 0.7500 0.7500  2.38

(20)
A plane-wave DFT calculation with SCAN was carried out for BaMn2Co at its PBEsol-relaxed geometry.

Computed properties:
Formation energy from the elements: 0.825 eV per atom
SG: Cmmm (65)

Cell lengths 3.3776, 4.7367, 4.7367 Å; angles 107.04, 90.00, 90.00 degrees
Each line ends with the local moment (μB).
Positions (direct):
1 Mn 0.0000 0.5000 0.0000  3.81
2 Mn 0.0000 0.0000 0.5000  3.81
3 Co 0.5000 0.5000 0.5000  1.69
4 Ba 0.5000 0.0000 0.0000  -0.22

Computed total moment (μB per cell) in order:
3.0 0.9 6.2 0.5 1.0 1.0 1.1 1.3 0.9 1.6 1.0 0.0 5.3 10.0 8.0 16.7 8.5 5.4 5.1 9.0